No. 1
The following is a GGA-PBE calculation of a relaxed LiCuAsW crystal, from the Open Quantum Materials Database.

extended XYZ file:
```
4
Lattice="0.0000 3.0598 3.0598 3.0598 0.0000 3.0598 3.0598 3.0598 0.0000" Properties=species:S:1:pos:R:3 pbc="T T T"
Li 0.0000 0.0000 0.0000
Cu 3.0598 3.0598 3.0598
As 1.5299 1.5299 1.5299
W 4.5896 4.5896 4.5896
```

The calculation puts the density at 9.5 Mg/m³. For the excess energy over the best structure of this formula in the dataset, the calculation gives 1.33 eV per formula unit. The symmetry is No. 216.

---

No. 2
The following is a GGA-PBE calculation of a relaxed LiCuAsW crystal, from the Open Quantum Materials Database.

extended XYZ file:
```
4
Lattice="0.0000 3.0120 3.0120 3.0120 0.0000 3.0120 3.0120 3.0120 0.0000" Properties=species:S:1:pos:R:3 pbc="T T T"
Li 0.0000 0.0000 0.0000
Cu 4.5181 4.5181 4.5181
As 3.0120 3.0120 3.0120
W 1.5060 1.5060 1.5060
```

The calculation puts the density at 10.0 Mg/m³. For the excess energy over the best structure of this formula in the dataset, the calculation gives 0.00 eV per formula unit. The symmetry is No. 216.

---

No. 3
The following is a GGA-PBE calculation of a relaxed LiYCuAs crystal, from the Open Quantum Materials Database.

extended XYZ file:
```
4
Lattice="0.0000 3.2523 3.2523 3.2523 0.0000 3.2523 3.2523 3.2523 0.0000" Properties=species:S:1:pos:R:3 pbc="T T T"
Li 0.0000 0.0000 0.0000
Y 4.8785 4.8785 4.8785
Cu 3.2523 3.2523 3.2523
As 1.6262 1.6262 1.6262
```

The calculation puts the density at 5.7 Mg/m³. For the excess energy over the best structure of this formula in the dataset, the calculation gives 0.00 eV per formula unit. The symmetry is No. 216.

---

Result set for E_tot: -0.371, -0.396, -0.329 Ry per atom, one per record in the order listed.